[1]
## Tb5Si2Hg (GGA-PBE)

Data for crystalline Tb5Si2Hg at its relaxed geometry.

DOS at the Fermi energy = 13.87 states/eV/cell
Crystal system = tetragonal
Space-group type = I4/mcm
Formation energy (no corrections) = -0.580 eV/atom
Uncorrected energy = -4.87 eV/atom

Lattice parameters (Å, degrees): 7.5890 7.5890 8.9495 115.09 115.09 90.00
Fractional positions:
Tb1 0.3118 0.8118 0.2797
Tb2 0.6882 0.1882 0.7203
Tb3 0.0000 0.0000 0.0000
Hg1 0.7500 0.7500 0.5000
Tb4 0.5321 0.6882 0.7203
Si1 0.3769 0.8769 0.0000
Tb5 0.8118 0.9679 0.2797
Tb6 0.1882 0.0321 0.7203
Tb7 0.4679 0.3118 0.2797
Hg2 0.2500 0.2500 0.5000
Si2 0.8769 0.6231 0.0000
Si3 0.6231 0.1231 0.0000
Tb8 0.0321 0.5321 0.7203
Si4 0.1231 0.3769 0.0000
Tb9 0.9679 0.4679 0.2797
Tb10 0.5000 0.5000 0.0000

[2]
## Tb4Si2Hg5 (GGA-PBE)

Data for crystalline Tb4Si2Hg5 at its relaxed geometry.

DOS at the Fermi energy = 6.22 states/eV/cell
Crystal system = monoclinic
Space-group type = P2/m
Formation energy (no corrections) = -0.476 eV/atom
Uncorrected energy = -3.28 eV/atom

Lattice parameters (Å, degrees): 3.8542 7.6545 9.0751 94.76 90.00 90.00
Fractional positions:
Hg1 0.0000 0.4522 0.6690
Tb1 0.5000 0.2351 0.4250
Si1 0.0000 0.0655 0.6214
Tb2 0.5000 0.1890 0.8521
Hg2 0.0000 0.5478 0.3310
Tb3 0.5000 0.8110 0.1479
Hg3 0.0000 0.5000 0.0000
Si2 0.0000 0.9345 0.3786
Tb4 0.5000 0.7649 0.5750
Hg4 0.0000 0.8488 0.8659
Hg5 0.0000 0.1512 0.1341

[3]
## Tb5Si2Hg2 (GGA-PBE)

Data for crystalline Tb5Si2Hg2 at its relaxed geometry.

DOS at the Fermi energy = 13.05 states/eV/cell
Crystal system = orthorhombic
Space-group type = Cmce
Formation energy (no corrections) = -0.604 eV/atom
Uncorrected energy = -4.45 eV/atom

Lattice parameters (Å, degrees): 7.5722 7.5912 8.8228 90.00 64.59 90.00
Fractional positions:
Hg1 0.2826 0.5000 0.4348
Hg2 0.7174 0.5000 0.5652
Hg3 0.2174 0.0000 0.5652
Tb1 0.3094 0.6768 0.7460
Si1 0.6174 0.1198 0.0000
Tb2 0.0000 0.0000 0.0000
Tb3 0.5554 0.8232 0.2540
Tb4 0.8094 0.8232 0.7460
Tb5 0.6906 0.3232 0.2540
Tb6 0.1906 0.1768 0.2540
Tb7 0.5000 0.5000 0.0000
Si2 0.3826 0.8802 0.0000
Tb8 0.0554 0.6768 0.2540
Tb9 0.4446 0.1768 0.7460
Tb10 0.9446 0.3232 0.7460
Hg4 0.7826 0.0000 0.4348
Si3 0.8826 0.6198 0.0000
Si4 0.1174 0.3802 0.0000

[4]
## Tb2Si2Hg (GGA-PBE)

Data for crystalline Tb2Si2Hg at its relaxed geometry.

DOS at the Fermi energy = 2.78 states/eV/cell
Crystal system = orthorhombic
Space-group type = Cmmm
Formation energy (no corrections) = -0.658 eV/atom
Uncorrected energy = -4.74 eV/atom

Lattice parameters (Å, degrees): 4.0739 3.7915 7.3953 104.85 90.00 90.00
Fractional positions:
Hg1 0.0000 0.0000 0.0000
Tb1 0.5000 0.6354 0.2708
Si1 0.0000 0.2009 0.4018
Si2 0.0000 0.7991 0.5982
Tb2 0.5000 0.3646 0.7292

Q: Look up the formation energy (no corrections) of the fourth one.
A: -0.658 eV/atom

Q: Number 2 is which compound?
A: Tb4Si2Hg5